Entry from Alexandria: PmAlGa2Cu2 after structural relaxation (PBE).

Values from the calculation:
Volume, Å³ per cell: 105.3
Raw total energy, eV/atom: -4.1974
Density of states at the Fermi level, states/eV/f.u.: 2.4
Density, Mg/m³: 6.92
Total magnetic moment, μB per atom: 0.000
SG: P-3m1 (164)

abc: 4.1888 4.1888 6.9282
angles: 90.00 90.00 120.00
With the nearest neighbours (Å) after each atom.
Fractional positions:
Pm  0.0000  0.0000  0.0000  6 Ga 3.06, 6 Cu 3.38
Al  0.0000  0.0000  0.5000  6 Cu 2.66, 6 Ga 2.90
Ga  0.3333  0.6667  0.2699  4 Cu 2.47-2.70
Ga  0.6667  0.3333  0.7301  4 Cu 2.47-2.70
Cu  0.3333  0.6667  0.6594  4 Ga 2.47-2.70, 3 Al 2.66
Cu  0.6667  0.3333  0.3406  4 Ga 2.47-2.70, 3 Al 2.66

Entry from Alexandria: Pm2AlGa3Cu12 after structural relaxation (PBE).

Values from the calculation:
Volume, Å³ per cell: 336.6
Raw total energy, eV/atom: -3.7703
Density of states at the Fermi level, states/eV/f.u.: 9.7
Density, Mg/m³: 6.36
Total magnetic moment, μB per atom: 0.000
SG: R-3m (166)

abc: 7.5552 7.5552 7.5552
angles: 64.74 64.74 64.74
With the nearest neighbours (Å) after each atom.
Fractional positions:
Pm  0.1005  0.1005  0.1005  9 Cu 2.88-3.20
Pm  0.8995  0.8995  0.8995  9 Cu 2.88-3.20
Al  0.5000  0.5000  0.5000  6 Cu 2.33
Ga  0.0000  0.5000  0.5000  6 Cu 2.49-2.52
Ga  0.5000  0.0000  0.5000  6 Cu 2.49-2.52
Ga  0.5000  0.5000  0.0000  6 Cu 2.49-2.52
Cu  0.1418  0.1418  0.4842  2 Cu 2.39, 2 Ga 2.49
Cu  0.1418  0.4842  0.1418  2 Cu 2.39, 2 Ga 2.49
Cu  0.1478  0.6381  0.6381  1 Al 2.33, 4 Cu 2.39-2.46, 1 Ga 2.52
Cu  0.3619  0.3619  0.8522  1 Al 2.33, 4 Cu 2.39-2.46, 1 Ga 2.52
Cu  0.3619  0.8522  0.3619  1 Al 2.33, 4 Cu 2.39-2.46, 1 Ga 2.52
Cu  0.4842  0.1418  0.1418  2 Cu 2.39, 2 Ga 2.49
Cu  0.5158  0.8582  0.8582  2 Cu 2.39, 2 Ga 2.49
Cu  0.6381  0.1478  0.6381  1 Al 2.33, 4 Cu 2.39-2.46, 1 Ga 2.52
Cu  0.6381  0.6381  0.1478  1 Al 2.33, 4 Cu 2.39-2.46, 1 Ga 2.52
Cu  0.8522  0.3619  0.3619  1 Al 2.33, 4 Cu 2.39-2.46, 1 Ga 2.52
Cu  0.8582  0.5158  0.8582  2 Cu 2.39, 2 Ga 2.49
Cu  0.8582  0.8582  0.5158  2 Cu 2.39, 2 Ga 2.49

Entry from Alexandria: PmAlGa2Cu after structural relaxation (PBE).

Values from the calculation:
Volume, Å³ per cell: 185.9
Raw total energy, eV/atom: -4.2405
Density of states at the Fermi level, states/eV/f.u.: 1.3
Density, Mg/m³: 6.70
Total magnetic moment, μB per atom: 0.000
SG: I-4m2 (119)

abc: 4.1308 4.1308 10.8932
angles: 90.00 90.00 90.00
With the nearest neighbours (Å) after each atom.
Fractional positions:
Pm  0.0000  0.0000  0.0000  8 Ga 3.17, 4 Cu 3.42, 4 Al 3.42
Pm  0.5000  0.5000  0.5000  8 Ga 3.17, 4 Cu 3.42, 4 Al 3.42
Al  0.0000  0.5000  0.2500  4 Ga 2.54
Al  0.5000  0.0000  0.7500  4 Ga 2.54
Ga  0.0000  0.0000  0.3859  1 Ga 2.49, 2 Al 2.54, 2 Cu 2.54
Ga  0.0000  0.0000  0.6141  1 Ga 2.49, 2 Cu 2.54, 2 Al 2.54
Ga  0.5000  0.5000  0.1141  1 Ga 2.49, 2 Cu 2.54, 2 Al 2.54
Ga  0.5000  0.5000  0.8859  1 Ga 2.49, 2 Al 2.54, 2 Cu 2.54
Cu  0.0000  0.5000  0.7500  4 Ga 2.54
Cu  0.5000  0.0000  0.2500  4 Ga 2.54

Entry from Alexandria: PmAlGaCu after structural relaxation (PBE).

Values from the calculation:
Volume, Å³ per cell: 305.1
Raw total energy, eV/atom: -4.2147
Density of states at the Fermi level, states/eV/f.u.: 1.5
Density, Mg/m³: 6.64
Total magnetic moment, μB per atom: 0.000
SG: F-43m (216)

abc: 6.7322 6.7322 6.7322
angles: 90.00 90.00 90.00
With the nearest neighbours (Å) after each atom.
Fractional positions:
Pm  0.0000  0.0000  0.0000  4 Cu 2.92, 4 Ga 2.92
Pm  0.0000  0.5000  0.5000  4 Cu 2.92, 4 Ga 2.92
Pm  0.5000  0.0000  0.5000  4 Cu 2.92, 4 Ga 2.92
Pm  0.5000  0.5000  0.0000  4 Cu 2.92, 4 Ga 2.92
Al  0.0000  0.0000  0.5000  4 Cu 2.92, 4 Ga 2.92
Al  0.0000  0.5000  0.0000  4 Cu 2.92, 4 Ga 2.92
Al  0.5000  0.0000  0.0000  4 Cu 2.92, 4 Ga 2.92
Al  0.5000  0.5000  0.5000  4 Cu 2.92, 4 Ga 2.92
Ga  0.2500  0.2500  0.7500  4 Pm 2.92, 4 Al 2.92
Ga  0.2500  0.7500  0.2500  4 Pm 2.92, 4 Al 2.92
Ga  0.7500  0.2500  0.2500  4 Pm 2.92, 4 Al 2.92
Ga  0.7500  0.7500  0.7500  4 Pm 2.92, 4 Al 2.92
Cu  0.2500  0.2500  0.2500  4 Pm 2.92, 4 Al 2.92
Cu  0.2500  0.7500  0.7500  4 Pm 2.92, 4 Al 2.92
Cu  0.7500  0.2500  0.7500  4 Pm 2.92, 4 Al 2.92
Cu  0.7500  0.7500  0.2500  4 Pm 2.92, 4 Al 2.92

Entry from Alexandria: Pm3AlGa2Cu6 after structural relaxation (PBE).

Values from the calculation:
Volume, Å³ per cell: 228.2
Raw total energy, eV/atom: -4.2366
Density of states at the Fermi level, states/eV/f.u.: 4.2
Density, Mg/m³: 7.15
Total magnetic moment, μB per atom: 0.000
SG: P-3m1 (164)

abc: 5.5759 5.5759 8.4772
angles: 90.00 90.00 120.00
With the nearest neighbours (Å) after each atom.
Fractional positions:
Pm  0.0000  0.0000  0.0000  6 Cu 2.92, 6 Ga 3.23
Pm  0.3333  0.6667  0.6206  9 Cu 2.92-3.27
Pm  0.6667  0.3333  0.3794  9 Cu 2.92-3.27
Al  0.0000  0.0000  0.5000  6 Cu 2.56
Ga  0.3333  0.6667  0.0244  3 Cu 2.61
Ga  0.6667  0.3333  0.9756  3 Cu 2.61
Cu  0.1797  0.3593  0.2773  1 Al 2.56, 2 Cu 2.57, 1 Ga 2.61
Cu  0.1797  0.8203  0.2773  1 Al 2.56, 2 Cu 2.57, 1 Ga 2.61
Cu  0.3593  0.1797  0.7227  1 Al 2.56, 2 Cu 2.57, 1 Ga 2.61
Cu  0.6407  0.8203  0.2773  1 Al 2.56, 2 Cu 2.57, 1 Ga 2.61
Cu  0.8203  0.1797  0.7227  1 Al 2.56, 2 Cu 2.57, 1 Ga 2.61
Cu  0.8203  0.6407  0.7227  1 Al 2.56, 2 Cu 2.57, 1 Ga 2.61

Entry from Alexandria: Pm2AlGa4Cu3 after structural relaxation (PBE).

Values from the calculation:
Volume, Å³ per cell: 182.4
Raw total energy, eV/atom: -4.2534
Density of states at the Fermi level, states/eV/f.u.: 3.6
Density, Mg/m³: 7.16
Total magnetic moment, μB per atom: 0.000
SG: P-4m2 (115)

abc: 4.1608 4.1608 10.5356
angles: 90.00 90.00 90.00
With the nearest neighbours (Å) after each atom.
Fractional positions:
Pm  0.0000  0.5000  0.2451  8 Ga 3.17-3.32, 6 Cu 3.19-3.40, 2 Al 3.40
Pm  0.5000  0.0000  0.7549  8 Ga 3.17-3.32, 6 Cu 3.19-3.40, 2 Al 3.40
Al  0.0000  0.0000  0.5000  4 Ga 2.57
Ga  0.0000  0.0000  0.0000  4 Cu 2.49
Ga  0.0000  0.5000  0.6427  3 Cu 2.40-2.57, 2 Al 2.57
Ga  0.5000  0.0000  0.3573  3 Cu 2.40-2.57, 2 Al 2.57
Ga  0.5000  0.5000  0.0000  4 Cu 2.49
Cu  0.0000  0.5000  0.8709  5 Ga 2.40-2.49
Cu  0.5000  0.0000  0.1291  5 Ga 2.40-2.49
Cu  0.5000  0.5000  0.5000  4 Ga 2.57

Entry from Alexandria: PmAlGaCu3 after structural relaxation (PBE).

Values from the calculation:
Volume, Å³ per cell: 213.2
Raw total energy, eV/atom: -4.1085
Density of states at the Fermi level, states/eV/f.u.: 2.6
Density, Mg/m³: 6.73
Total magnetic moment, μB per atom: 0.000
SG: Cmcm (63)

abc: 6.7182 6.7182 5.7912
angles: 90.00 90.00 125.34
With the nearest neighbours (Å) after each atom.
Fractional positions:
Pm  0.2046  0.7954  0.7500  1 Al 2.96, 2 Ga 3.00, 6 Cu 3.10-3.15
Pm  0.7954  0.2046  0.2500  1 Al 2.96, 2 Ga 3.00, 6 Cu 3.10-3.15
Al  0.4529  0.5471  0.7500  5 Cu 2.38-2.42
Al  0.5471  0.4529  0.2500  5 Cu 2.38-2.42
Ga  0.1400  0.8600  0.2500  5 Cu 2.47-2.53
Ga  0.8600  0.1400  0.7500  5 Cu 2.47-2.53
Cu  0.2001  0.2001  0.0000  2 Al 2.42, 1 Cu 2.47, 2 Ga 2.53
Cu  0.2001  0.2001  0.5000  2 Al 2.42, 1 Cu 2.47, 2 Ga 2.53
Cu  0.3473  0.6527  0.2500  1 Al 2.38, 1 Ga 2.47
Cu  0.6527  0.3473  0.7500  1 Al 2.38, 1 Ga 2.47
Cu  0.7999  0.7999  0.0000  2 Al 2.42, 1 Cu 2.47, 2 Ga 2.53
Cu  0.7999  0.7999  0.5000  2 Al 2.42, 1 Cu 2.47, 2 Ga 2.53

Entry from Alexandria: Pm2Al3GaCu4 after structural relaxation (PBE).

Values from the calculation:
Volume, Å³ per cell: 180.2
Raw total energy, eV/atom: -4.4247
Density of states at the Fermi level, states/eV/f.u.: 5.2
Density, Mg/m³: 6.40
Total magnetic moment, μB per atom: 0.000
SG: P-4m2 (115)

abc: 4.2128 4.2128 10.1512
angles: 90.00 90.00 90.00
With the nearest neighbours (Å) after each atom.
Fractional positions:
Pm  0.0000  0.5000  0.2469  6 Al 3.22-3.32, 8 Cu 3.22-3.27, 2 Ga 3.32
Pm  0.5000  0.0000  0.7531  6 Al 3.22-3.32, 8 Cu 3.22-3.27, 2 Ga 3.32
Al  0.0000  0.5000  0.8729  5 Cu 2.43-2.47
Al  0.5000  0.0000  0.1271  5 Cu 2.43-2.47
Al  0.5000  0.5000  0.5000  4 Cu 2.50
Ga  0.0000  0.0000  0.5000  4 Cu 2.50
Cu  0.0000  0.0000  0.0000  4 Al 2.47
Cu  0.0000  0.5000  0.6333  3 Al 2.43-2.50, 2 Ga 2.50
Cu  0.5000  0.0000  0.3667  3 Al 2.43-2.50, 2 Ga 2.50
Cu  0.5000  0.5000  0.0000  4 Al 2.47

Entry from Alexandria: PmAl2GaCu2 after structural relaxation (PBE).

Values from the calculation:
Volume, Å³ per cell: 113.7
Raw total energy, eV/atom: -4.0168
Density of states at the Fermi level, states/eV/f.u.: 2.6
Density, Mg/m³: 5.78
Total magnetic moment, μB per atom: 0.000
SG: P4/mmm (123)

abc: 4.4870 4.4870 5.6460
angles: 90.00 90.00 90.00
With the nearest neighbours (Å) after each atom.
Fractional positions:
Pm  0.0000  0.0000  0.0000  2 Ga 2.82
Al  0.5000  0.5000  0.2371  2 Al 2.68-2.97, 4 Cu 2.69
Al  0.5000  0.5000  0.7629  2 Al 2.68-2.97, 4 Cu 2.69
Ga  0.0000  0.0000  0.5000  4 Cu 2.24
Cu  0.0000  0.5000  0.5000  2 Ga 2.24
Cu  0.5000  0.0000  0.5000  2 Ga 2.24

Entry from Alexandria: PrAlGa4Cu2 after structural relaxation (PBE).

Values from the calculation:
Volume, Å³ per cell: 144.8
Raw total energy, eV/atom: -3.8085
Density of states at the Fermi level, states/eV/f.u.: 2.4
Density, Mg/m³: 6.58
Total magnetic moment, μB per atom: 0.000
SG: R-3m (166)

abc: 9.2147 9.2147 9.2147
angles: 27.26 27.26 27.26
With the nearest neighbours (Å) after each atom.
Fractional positions:
Pr  0.0000  0.0000  0.0000  8 Ga 3.08-3.32
Al  0.5000  0.5000  0.5000  8 Ga 2.65-2.74
Ga  0.1249  0.1249  0.1249  3 Cu 2.62, 3 Al 2.74
Ga  0.4003  0.4003  0.4003  3 Cu 2.63, 1 Al 2.65, 3 Ga 2.94
Ga  0.5997  0.5997  0.5997  3 Cu 2.63, 1 Al 2.65, 3 Ga 2.94
Ga  0.8751  0.8751  0.8751  3 Cu 2.62, 3 Al 2.74
Cu  0.2365  0.2365  0.2365  6 Ga 2.62-2.63
Cu  0.7635  0.7635  0.7635  6 Ga 2.62-2.63

Entry from Alexandria: PrAl2GaCu4 after structural relaxation (PBE).

Values from the calculation:
Volume, Å³ per cell: 132.8
Raw total energy, eV/atom: -4.2033
Density of states at the Fermi level, states/eV/f.u.: 3.1
Density, Mg/m³: 6.49
Total magnetic moment, μB per atom: 0.000
SG: R-3m (166)

abc: 9.0915 9.0915 9.0915
angles: 26.60 26.60 26.60
With the nearest neighbours (Å) after each atom.
Fractional positions:
Pr  0.0000  0.0000  0.0000  8 Cu 3.09-3.42, 6 Al 3.38
Al  0.2432  0.2432  0.2432  6 Cu 2.45-2.63
Al  0.7568  0.7568  0.7568  6 Cu 2.45-2.63
Ga  0.5000  0.5000  0.5000  8 Cu 2.45-2.60
Cu  0.1300  0.1300  0.1300  3 Ga 2.60, 3 Al 2.63, 3 Cu 2.83
Cu  0.4069  0.4069  0.4069  1 Ga 2.45, 3 Al 2.45
Cu  0.5931  0.5931  0.5931  1 Ga 2.45, 3 Al 2.45
Cu  0.8700  0.8700  0.8700  3 Ga 2.60, 3 Al 2.63, 3 Cu 2.83

Entry from Alexandria: PrAlGaCu2 after structural relaxation (PBE).

Values from the calculation:
Volume, Å³ per cell: 185.0
Raw total energy, eV/atom: -4.3256
Density of states at the Fermi level, states/eV/f.u.: 3.5
Density, Mg/m³: 6.55
Total magnetic moment, μB per atom: 0.000
SG: Imm2 (44)

abc: 4.1888 4.2245 10.4554
angles: 90.00 90.00 90.00
With the nearest neighbours (Å) after each atom.
Fractional positions:
Pr  0.0000  0.0000  0.0000  4 Ga 3.19, 8 Cu 3.24-3.37, 4 Al 3.33-3.38
Pr  0.5000  0.5000  0.5000  4 Ga 3.19, 8 Cu 3.24-3.37, 4 Al 3.33-3.38
Al  0.0000  0.5000  0.7542  2 Cu 2.46, 2 Ga 2.59
Al  0.5000  0.0000  0.2542  2 Cu 2.46, 2 Ga 2.59
Ga  0.0000  0.0000  0.6110  3 Cu 2.44-2.53, 2 Al 2.59
Ga  0.5000  0.5000  0.1110  3 Cu 2.44-2.53, 2 Al 2.59
Cu  0.0000  0.0000  0.3779  1 Ga 2.44, 2 Al 2.46, 2 Cu 2.51
Cu  0.0000  0.5000  0.2474  2 Cu 2.51, 2 Ga 2.53
Cu  0.5000  0.0000  0.7474  2 Cu 2.51, 2 Ga 2.53
Cu  0.5000  0.5000  0.8779  1 Ga 2.44, 2 Al 2.46, 2 Cu 2.51